The following is a PBE calculation of an optimized crystal structure of InNiW2, from Alexandria.

## Properties
* total magnetization: 0.00 μB/cell
* raw total energy: -8.17 eV per atom
* crystal system: monoclinic

Cell: 4.851 4.851 5.090 Å, 81.46 81.46 33.06°
Atoms (fractional coordinates):
Ni (0.259, 0.259, 0.261)
In (0.509, 0.509, 0.476)
W (0.985, 0.985, 0.991)
W (0.746, 0.746, 0.771)